1.
First-principles (PBE) data for crystalline Nd2Sm2Er at its relaxed geometry, as listed in Alexandria.

Values from the calculation:
As for the energy above the most stable polymorph in this dataset: 0 meV/atom. Its space group is Imma, No. 74.

Unit cell a=16.524 b=16.524 c=16.524 alpha=167.37 beta=159.77 gamma=23.92
Fractional coordinates of all 10 atoms:
Nd 0.044 0.294 0.750
Nd 0.441 0.191 0.250
Nd 0.559 0.809 0.750
Nd 0.956 0.706 0.250
Sm 0.132 0.882 0.250
Sm 0.229 0.979 0.250
Sm 0.771 0.021 0.750
Sm 0.868 0.118 0.750
Er 0.327 0.577 0.750
Er 0.673 0.423 0.250

---

2.
First-principles (PBE) data for crystalline Nd7SmEr5 at its relaxed geometry, as listed in Alexandria.

Values from the calculation:
Its space group is Imm2, No. 44.

Unit cell a=8.832 b=8.832 c=8.832 alpha=135.17 beta=99.86 gamma=96.87
Fractional coordinates of all 13 atoms:
Nd 0.000 0.000 0.000
Nd 0.000 0.500 0.500
Nd 0.080 0.753 0.327
Nd 0.308 0.308 0.000
Nd 0.426 0.753 0.673
Nd 0.576 0.249 0.327
Nd 0.922 0.249 0.673
Sm 0.691 0.691 0.000
Er 0.270 0.266 0.534
Er 0.270 0.736 0.004
Er 0.502 0.002 0.500
Er 0.732 0.266 0.996
Er 0.732 0.736 0.466

---

3.
First-principles (PBE) data for crystalline Nd4SmEr8 at its relaxed geometry, as listed in Alexandria.

Values from the calculation:
Its space group is R-3m, No. 166.

Unit cell a=7.793 b=7.793 c=7.793 alpha=90.08 beta=90.08 gamma=90.08
Fractional coordinates of all 13 atoms:
Nd 0.000 0.000 0.000
Nd 0.000 0.500 0.500
Nd 0.500 0.000 0.500
Nd 0.500 0.500 0.000
Sm 0.500 0.500 0.500
Er 0.240 0.240 0.240
Er 0.240 0.240 0.760
Er 0.240 0.760 0.240
Er 0.240 0.760 0.760
Er 0.760 0.240 0.240
Er 0.760 0.240 0.760
Er 0.760 0.760 0.240
Er 0.760 0.760 0.760

---

4.
First-principles (PBE) data for crystalline Nd5Sm8Er at its relaxed geometry, as listed in Alexandria.

Values from the calculation:
Its space group is C2/m, No. 12.

Unit cell a=8.591 b=8.591 c=9.053 alpha=120.59 beta=120.59 gamma=83.02
Fractional coordinates of all 14 atoms:
Nd 0.000 0.000 0.000
Nd 0.340 0.340 0.541
Nd 0.343 0.343 0.948
Nd 0.657 0.657 0.052
Nd 0.660 0.660 0.459
Sm 0.093 0.496 0.223
Sm 0.153 0.714 0.707
Sm 0.286 0.847 0.293
Sm 0.496 0.093 0.223
Sm 0.504 0.907 0.777
Sm 0.714 0.153 0.707
Sm 0.847 0.286 0.293
Sm 0.907 0.504 0.777
Er 0.000 0.000 0.500

---

5.
First-principles (PBE) data for crystalline Nd3Sm4Er2 at its relaxed geometry, as listed in Alexandria.

Values from the calculation:
As for the energy above the most stable polymorph in this dataset: 0 meV/atom. Its space group is P-1, No. 2.

Unit cell a=6.258 b=6.266 c=9.575 alpha=70.91 beta=89.88 gamma=60.06
Fractional coordinates of all 9 atoms:
Nd 0.000 0.000 0.000
Nd 0.444 0.444 0.335
Nd 0.556 0.556 0.665
Sm 0.111 0.112 0.334
Sm 0.334 0.331 0.000
Sm 0.666 0.669 0.000
Sm 0.889 0.888 0.666
Er 0.221 0.224 0.665
Er 0.779 0.776 0.335

---

6.
First-principles (PBE) data for crystalline Nd3Sm2Er8 at its relaxed geometry, as listed in Alexandria.

Values from the calculation:
As for the energy above the most stable polymorph in this dataset: 0 meV/atom. Its space group is P2/m, No. 10.

Unit cell a=8.114 b=5.239 c=10.515 alpha=90.00 beta=104.92 gamma=90.00
Fractional coordinates of all 13 atoms:
Nd 0.000 0.000 0.000
Nd 0.274 0.500 0.929
Nd 0.726 0.500 0.071
Sm 0.325 0.000 0.402
Sm 0.675 0.000 0.598
Er 0.112 0.000 0.680
Er 0.159 0.500 0.232
Er 0.385 0.500 0.618
Er 0.462 0.000 0.147
Er 0.538 0.000 0.853
Er 0.615 0.500 0.382
Er 0.841 0.500 0.768
Er 0.888 0.000 0.320

---

7.
First-principles (PBE) data for crystalline Nd7Sm4Er at its relaxed geometry, as listed in Alexandria.

Values from the calculation:
As for the energy above the most stable polymorph in this dataset: 204 meV/atom. Its space group is C2/m, No. 12.

Unit cell a=8.737 b=8.737 c=9.417 alpha=114.22 beta=114.22 gamma=40.63
Fractional coordinates of all 12 atoms:
Nd 0.000 0.000 0.000
Nd 0.292 0.292 0.124
Nd 0.292 0.292 0.775
Nd 0.419 0.419 0.563
Nd 0.581 0.581 0.437
Nd 0.708 0.708 0.225
Nd 0.708 0.708 0.876
Sm 0.073 0.073 0.699
Sm 0.173 0.173 0.389
Sm 0.827 0.827 0.611
Sm 0.927 0.927 0.301
Er 0.500 0.500 0.000

---

8.
First-principles (PBE) data for crystalline Nd5Sm7Er at its relaxed geometry, as listed in Alexandria.

Values from the calculation:
Its space group is Imm2, No. 44.

Unit cell a=8.844 b=8.844 c=8.844 alpha=134.34 beta=101.69 gamma=95.65
Fractional coordinates of all 13 atoms:
Nd 0.000 0.000 0.000
Nd 0.266 0.316 0.497
Nd 0.266 0.769 0.950
Nd 0.819 0.316 0.050
Nd 0.819 0.769 0.503
Sm 0.112 0.280 0.832
Sm 0.449 0.280 0.168
Sm 0.527 0.527 0.000
Sm 0.532 0.032 0.500
Sm 0.601 0.783 0.818
Sm 0.837 0.337 0.500
Sm 0.966 0.783 0.182
Er 0.229 0.729 0.500

---

9.
First-principles (PBE) data for crystalline Nd8Sm6Er at its relaxed geometry, as listed in Alexandria.

Values from the calculation:
As for the energy above the most stable polymorph in this dataset: 0 meV/atom. Its space group is R-3, No. 148.

Unit cell a=8.820 b=8.820 c=8.820 alpha=63.33 beta=63.33 gamma=63.33
Fractional coordinates of all 15 atoms:
Nd 0.078 0.078 0.078
Nd 0.218 0.613 0.250
Nd 0.250 0.218 0.613
Nd 0.387 0.750 0.782
Nd 0.613 0.250 0.218
Nd 0.750 0.782 0.387
Nd 0.782 0.387 0.750
Nd 0.922 0.922 0.922
Sm 0.040 0.598 0.741
Sm 0.259 0.960 0.402
Sm 0.402 0.259 0.960
Sm 0.598 0.741 0.040
Sm 0.741 0.040 0.598
Sm 0.960 0.402 0.259
Er 0.500 0.500 0.500

---

10.
First-principles (PBE) data for crystalline Nd12SmEr6 at its relaxed geometry, as listed in Alexandria.

Values from the calculation:
As for the energy above the most stable polymorph in this dataset: 59 meV/atom. Its space group is R-3m, No. 166.

Unit cell a=8.849 b=8.849 c=8.849 alpha=99.17 beta=99.17 gamma=99.17
Fractional coordinates of all 19 atoms:
Nd 0.000 0.258 0.742
Nd 0.000 0.742 0.258
Nd 0.147 0.147 0.418
Nd 0.147 0.418 0.147
Nd 0.258 0.000 0.742
Nd 0.258 0.742 0.000
Nd 0.418 0.147 0.147
Nd 0.582 0.853 0.853
Nd 0.742 0.000 0.258
Nd 0.742 0.258 0.000
Nd 0.853 0.582 0.853
Nd 0.853 0.853 0.582
Sm 0.500 0.500 0.500
Er 0.164 0.598 0.598
Er 0.402 0.402 0.836
Er 0.402 0.836 0.402
Er 0.598 0.164 0.598
Er 0.598 0.598 0.164
Er 0.836 0.402 0.402

---

11.
First-principles (PBE) data for crystalline Nd7SmEr12 at its relaxed geometry, as listed in Alexandria.

Values from the calculation:
As for the energy above the most stable polymorph in this dataset: 0 meV/atom. Its space group is R-3, No. 148.

Unit cell a=8.772 b=8.772 c=8.772 alpha=85.97 beta=85.97 gamma=85.97
Fractional coordinates of all 20 atoms:
Nd 0.000 0.000 0.000
Nd 0.102 0.343 0.425
Nd 0.343 0.425 0.102
Nd 0.425 0.102 0.343
Nd 0.575 0.898 0.657
Nd 0.657 0.575 0.898
Nd 0.898 0.657 0.575
Sm 0.500 0.500 0.500
Er 0.003 0.366 0.881
Er 0.119 0.997 0.634
Er 0.226 0.757 0.354
Er 0.243 0.646 0.774
Er 0.354 0.226 0.757
Er 0.366 0.881 0.003
Er 0.634 0.119 0.997
Er 0.646 0.774 0.243
Er 0.757 0.354 0.226
Er 0.774 0.243 0.646
Er 0.881 0.003 0.366
Er 0.997 0.634 0.119

---

12.
First-principles (PBE) data for crystalline Nd6SmEr3 at its relaxed geometry, as listed in Alexandria.

Values from the calculation:
As for the energy above the most stable polymorph in this dataset: 0 meV/atom. Its space group is Cmc2_1, No. 36.

Unit cell a=11.794 b=11.794 c=6.465 alpha=90.00 beta=90.00 gamma=130.75
Fractional coordinates of all 20 atoms:
Nd 0.015 0.985 0.500
Nd 0.107 0.545 0.976
Nd 0.262 0.380 0.725
Nd 0.301 0.699 0.501
Nd 0.380 0.262 0.225
Nd 0.455 0.893 0.976
Nd 0.545 0.107 0.476
Nd 0.620 0.738 0.725
Nd 0.699 0.301 0.001
Nd 0.738 0.620 0.225
Nd 0.893 0.455 0.476
Nd 0.985 0.015 0.000
Sm 0.157 0.843 0.292
Sm 0.843 0.157 0.792
Er 0.042 0.294 0.313
Er 0.294 0.042 0.813
Er 0.419 0.581 0.205
Er 0.581 0.419 0.705
Er 0.706 0.958 0.313
Er 0.958 0.706 0.813

---

13.
First-principles (PBE) data for crystalline Nd6Sm8Er at its relaxed geometry, as listed in Alexandria.

Values from the calculation:
As for the energy above the most stable polymorph in this dataset: 0 meV/atom. Its space group is R-3, No. 148.

Unit cell a=8.812 b=8.812 c=8.812 alpha=63.32 beta=63.32 gamma=63.32
Fractional coordinates of all 15 atoms:
Nd 0.039 0.736 0.599
Nd 0.264 0.401 0.961
Nd 0.401 0.961 0.264
Nd 0.599 0.039 0.736
Nd 0.736 0.599 0.039
Nd 0.961 0.264 0.401
Sm 0.077 0.077 0.077
Sm 0.218 0.250 0.613
Sm 0.250 0.613 0.218
Sm 0.387 0.782 0.750
Sm 0.613 0.218 0.250
Sm 0.750 0.387 0.782
Sm 0.782 0.750 0.387
Sm 0.923 0.923 0.923
Er 0.500 0.500 0.500

---

14.
First-principles (PBE) data for crystalline NdSm6Er2 at its relaxed geometry, as listed in Alexandria.

Values from the calculation:
As for the energy above the most stable polymorph in this dataset: 0 meV/atom. Its space group is P-1, No. 2.

Unit cell a=3.612 b=8.830 c=9.539 alpha=90.25 beta=100.90 gamma=90.07
Fractional coordinates of all 9 atoms:
Nd 0.000 0.000 0.000
Sm 0.110 0.664 0.220
Sm 0.221 0.335 0.442
Sm 0.333 0.001 0.667
Sm 0.667 0.999 0.333
Sm 0.779 0.665 0.558
Sm 0.890 0.336 0.780
Er 0.445 0.666 0.889
Er 0.555 0.334 0.111

---

15.
First-principles (PBE) data for crystalline NdSm6Er3 at its relaxed geometry, as listed in Alexandria.

Values from the calculation:
As for the energy above the most stable polymorph in this dataset: 0 meV/atom. Its space group is Cmc2_1, No. 36.

Unit cell a=11.689 b=11.689 c=6.443 alpha=90.00 beta=90.00 gamma=130.71
Fractional coordinates of all 20 atoms:
Nd 0.159 0.841 0.500
Nd 0.841 0.159 0.000
Sm 0.015 0.985 0.707
Sm 0.107 0.544 0.178
Sm 0.263 0.380 0.930
Sm 0.301 0.699 0.710
Sm 0.380 0.263 0.430
Sm 0.456 0.893 0.178
Sm 0.544 0.107 0.678
Sm 0.620 0.737 0.930
Sm 0.699 0.301 0.210
Sm 0.737 0.620 0.430
Sm 0.893 0.456 0.678
Sm 0.985 0.015 0.207
Er 0.042 0.296 0.522
Er 0.296 0.042 0.022
Er 0.418 0.582 0.409
Er 0.582 0.418 0.909
Er 0.704 0.958 0.522
Er 0.958 0.704 0.022

---

16.
First-principles (PBE) data for crystalline Nd2Sm3Er8 at its relaxed geometry, as listed in Alexandria.

Values from the calculation:
As for the energy above the most stable polymorph in this dataset: 0 meV/atom. Its space group is C2/m, No. 12.

Unit cell a=8.610 b=8.610 c=6.764 alpha=98.05 beta=98.05 gamma=63.89
Fractional coordinates of all 13 atoms:
Nd 0.218 0.218 0.300
Nd 0.782 0.782 0.700
Sm 0.000 0.000 0.000
Sm 0.173 0.827 0.500
Sm 0.827 0.173 0.500
Er 0.201 0.201 0.791
Er 0.207 0.567 0.062
Er 0.420 0.420 0.641
Er 0.433 0.793 0.938
Er 0.567 0.207 0.062
Er 0.580 0.580 0.359
Er 0.793 0.433 0.938
Er 0.799 0.799 0.209

---

17.
First-principles (PBE) data for crystalline Nd2Sm4Er5 at its relaxed geometry, as listed in Alexandria.

Values from the calculation:
As for the energy above the most stable polymorph in this dataset: 189 meV/atom. Its space group is Immm, No. 71.

Unit cell a=12.553 b=12.553 c=12.553 alpha=163.90 beta=137.27 gamma=45.94
Fractional coordinates of all 11 atoms:
Nd 0.232 0.232 0.000
Nd 0.768 0.768 0.000
Sm 0.096 0.096 0.000
Sm 0.200 0.500 0.700
Sm 0.800 0.500 0.300
Sm 0.904 0.904 0.000
Er 0.164 0.357 0.806
Er 0.449 0.643 0.806
Er 0.500 0.000 0.500
Er 0.551 0.357 0.194
Er 0.836 0.643 0.194

---

18.
First-principles (PBE) data for crystalline NdSm6Er3 at its relaxed geometry, as listed in Alexandria.

Values from the calculation:
As for the energy above the most stable polymorph in this dataset: 21 meV/atom. Its space group is Cmc2_1, No. 36.

Unit cell a=11.077 b=11.077 c=6.263 alpha=90.00 beta=90.00 gamma=120.23
Fractional coordinates of all 20 atoms:
Nd 0.198 0.802 0.500
Nd 0.802 0.198 0.000
Sm 0.040 0.960 0.726
Sm 0.053 0.471 0.249
Sm 0.280 0.720 0.976
Sm 0.291 0.375 0.076
Sm 0.375 0.291 0.576
Sm 0.471 0.053 0.749
Sm 0.529 0.947 0.249
Sm 0.625 0.709 0.076
Sm 0.709 0.625 0.576
Sm 0.720 0.280 0.476
Sm 0.947 0.529 0.749
Sm 0.960 0.040 0.226
Er 0.059 0.285 0.657
Er 0.285 0.059 0.157
Er 0.386 0.614 0.539
Er 0.614 0.386 0.039
Er 0.715 0.941 0.657
Er 0.941 0.715 0.157

---

What did we get for E_form? Answer: 3.150, 5.154, 12.062, 3.877, 0.361, 3.729, 4.942, 5.556, 2.614, 4.389, 5.322, 2.923, 2.586, 0.389, 2.936, 5.739, 5.618, 3.424 kcal/mol of atoms, in the order shown.
What did we get for calculated total energy? Answer: -4.571, -4.462, -4.115, -4.557, -4.685, -4.473, -4.520, -4.485, -4.621, -4.510, -4.412, -4.575, -4.616, -4.673, -4.550, -4.382, -4.413, -4.529 eV/atom, in the order shown.